Record 1
First-principles (PBE) data for crystalline NaZrAgSe3 at its relaxed geometry, as listed in the Open Quantum Materials Database.

a b c (Å): 7.7291 4.0840 17.2373
angles (deg): 90.00 90.00 90.00
Sites, in units of the cell vectors:
Se (0.4923, 0.2500, 0.5730)
Se (0.3718, 0.7500, 0.9480)
Se (0.1890, 0.7500, 0.6959)
Se (0.1282, 0.2500, 0.4480)
Se (0.8718, 0.7500, 0.5520)
Se (0.5077, 0.7500, 0.4270)
Se (0.6282, 0.2500, 0.0520)
Se (0.6890, 0.7500, 0.8041)
Se (0.3110, 0.2500, 0.1959)
Se (0.8110, 0.2500, 0.3041)
Se (0.9923, 0.2500, 0.9270)
Se (0.0077, 0.7500, 0.0730)
Ag (0.4667, 0.2500, 0.3274)
Ag (0.5333, 0.7500, 0.6726)
Ag (0.0333, 0.7500, 0.8274)
Ag (0.9667, 0.2500, 0.1726)
Na (0.6128, 0.7500, 0.1912)
Na (0.1128, 0.7500, 0.3088)
Na (0.3872, 0.2500, 0.8088)
Na (0.8872, 0.2500, 0.6912)
Zr (0.7411, 0.7500, 0.9554)
Zr (0.2411, 0.7500, 0.5446)
Zr (0.7589, 0.2500, 0.4554)
Zr (0.2589, 0.2500, 0.0446)

V = 22.67 Å³ per atom
ΔE to the lowest computed polymorph = 87.0 meV per atom
Space-group type = Pnma

Record 2
First-principles (PBE) data for crystalline NaZrAgSe3 at its relaxed geometry, as listed in the Open Quantum Materials Database.

a b c (Å): 11.9008 3.9324 12.2891
angles (deg): 90.00 90.00 90.00
Sites, in units of the cell vectors:
Na (0.0105, 0.5000, 0.8520)
Na (0.9895, 0.0000, 0.1480)
Na (0.5105, 0.0000, 0.6480)
Na (0.4895, 0.5000, 0.3520)
Se (0.6677, 0.5000, 0.5396)
Se (0.4246, 0.0000, 0.0763)
Se (0.6396, 0.0000, 0.2599)
Se (0.3323, 0.0000, 0.4604)
Se (0.9246, 0.5000, 0.4237)
Se (0.1396, 0.5000, 0.2401)
Se (0.8604, 0.0000, 0.7599)
Se (0.1677, 0.0000, 0.9604)
Se (0.5754, 0.5000, 0.9237)
Se (0.8323, 0.5000, 0.0396)
Se (0.3604, 0.5000, 0.7401)
Se (0.0754, 0.0000, 0.5763)
Zr (0.1672, 0.5000, 0.4456)
Zr (0.6672, 0.0000, 0.0544)
Zr (0.3328, 0.5000, 0.9456)
Zr (0.8328, 0.0000, 0.5544)
Ag (0.2939, 0.0000, 0.2486)
Ag (0.7939, 0.5000, 0.2514)
Ag (0.7061, 0.5000, 0.7514)
Ag (0.2061, 0.0000, 0.7486)

V = 23.96 Å³ per atom
ΔE to the lowest computed polymorph = 68.5 meV per atom
Space-group type = Pnma

Record 3
First-principles (PBE) data for crystalline NaZrAgSe3 at its relaxed geometry, as listed in the Open Quantum Materials Database.

a b c (Å): 7.2183 7.2183 10.4667
angles (deg): 90.00 90.00 148.55
Sites, in units of the cell vectors:
Na (0.7550, 0.2450, 0.7500)
Na (0.2450, 0.7550, 0.2500)
Se (0.3643, 0.6357, 0.9619)
Se (0.9164, 0.0836, 0.2500)
Se (0.3643, 0.6357, 0.5381)
Se (0.6357, 0.3643, 0.4619)
Se (0.6357, 0.3643, 0.0381)
Se (0.0836, 0.9164, 0.7500)
Ag (0.4566, 0.5434, 0.7500)
Ag (0.5434, 0.4566, 0.2500)
Zr (0.0000, 0.0000, 0.0000)
Zr (0.0000, 0.0000, 0.5000)

V = 23.71 Å³ per atom
ΔE to the lowest computed polymorph = 44.4 meV per atom
Space-group type = Cmcm

Record 4
First-principles (PBE) data for crystalline NaZrAgSe3 at its relaxed geometry, as listed in the Open Quantum Materials Database.

a b c (Å): 12.2961 3.9345 11.9128
angles (deg): 90.00 90.00 90.00
Sites, in units of the cell vectors:
Ag (0.2513, 0.2500, 0.7939)
Ag (0.7487, 0.7500, 0.2061)
Ag (0.7513, 0.2500, 0.7061)
Ag (0.2487, 0.7500, 0.2939)
Se (0.7598, 0.7500, 0.8597)
Se (0.0763, 0.7500, 0.4243)
Se (0.9237, 0.2500, 0.5757)
Se (0.7402, 0.2500, 0.3597)
Se (0.4608, 0.7500, 0.3324)
Se (0.2402, 0.2500, 0.1403)
Se (0.5763, 0.7500, 0.0757)
Se (0.9608, 0.7500, 0.1676)
Se (0.4237, 0.2500, 0.9243)
Se (0.5392, 0.2500, 0.6676)
Se (0.2598, 0.7500, 0.6403)
Se (0.0392, 0.2500, 0.8324)
Zr (0.9457, 0.2500, 0.3326)
Zr (0.4457, 0.2500, 0.1674)
Zr (0.5543, 0.7500, 0.8326)
Zr (0.0543, 0.7500, 0.6674)
Na (0.6484, 0.7500, 0.5107)
Na (0.1484, 0.7500, 0.9893)
Na (0.8516, 0.2500, 0.0107)
Na (0.3516, 0.2500, 0.4893)

V = 24.01 Å³ per atom
ΔE to the lowest computed polymorph = 68.3 meV per atom
Space-group type = Pnma

Record 5
First-principles (PBE) data for crystalline NaSiAg at its relaxed geometry, as listed in the Open Quantum Materials Database.

a b c (Å): 4.4770 4.4770 4.4770
angles (deg): 60.00 60.00 60.00
Sites, in units of the cell vectors:
Ag (0.0000, 0.0000, 0.0000)
Si (0.7500, 0.7500, 0.7500)
Na (0.2500, 0.2500, 0.2500)

V = 21.15 Å³ per atom
Uncorrected energy = -0.2102 Ry/atom
Space-group type = F-43m

Record 6
First-principles (PBE) data for crystalline NaSiAg at its relaxed geometry, as listed in the Open Quantum Materials Database.

a b c (Å): 4.5471 4.5471 4.5471
angles (deg): 60.00 60.00 60.00
Sites, in units of the cell vectors:
Na (0.0000, 0.0000, 0.0000)
Ag (0.2500, 0.2500, 0.2500)
Si (0.7500, 0.7500, 0.7500)

V = 22.16 Å³ per atom
Uncorrected energy = -0.1807 Ry/atom
Space-group type = F-43m

Record 7
First-principles (PBE) data for crystalline Na4SiAg2Sn at its relaxed geometry, as listed in the Open Quantum Materials Database.

a b c (Å): 4.8144 4.8144 7.0042
angles (deg): 90.00 90.00 90.00
Sites, in units of the cell vectors:
Na (0.0000, 0.5000, 0.7667)
Na (0.5000, 0.5000, 0.0000)
Na (0.5000, 0.0000, 0.2333)
Na (0.0000, 0.0000, 0.5000)
Ag (0.5000, 0.0000, 0.7674)
Ag (0.0000, 0.5000, 0.2326)
Sn (0.5000, 0.5000, 0.5000)
Si (0.0000, 0.0000, 0.0000)

V = 20.29 Å³ per atom
Uncorrected energy = -0.1880 Ry/atom
Space-group type = P-4m2

Record 8
First-principles (PBE) data for crystalline NaSmAg at its relaxed geometry, as listed in the Open Quantum Materials Database.

a b c (Å): 5.0180 5.0180 5.0180
angles (deg): 60.00 60.00 60.00
Sites, in units of the cell vectors:
Sm (0.0000, 0.0000, 0.0000)
Na (0.7500, 0.7500, 0.7500)
Ag (0.2500, 0.2500, 0.2500)

V = 29.78 Å³ per atom
ΔE to the lowest computed polymorph = 349.4 meV per atom
Space-group type = F-43m

Record 9
First-principles (PBE) data for crystalline NaSmAg at its relaxed geometry, as listed in the Open Quantum Materials Database.

a b c (Å): 4.9866 4.9866 4.9866
angles (deg): 60.00 60.00 60.00
Sites, in units of the cell vectors:
Na (0.2500, 0.2500, 0.2500)
Ag (0.0000, 0.0000, 0.0000)
Sm (0.7500, 0.7500, 0.7500)

V = 29.23 Å³ per atom
ΔE to the lowest computed polymorph = 0.0 meV per atom
Space-group type = F-43m

Record 10
First-principles (PBE) data for crystalline NaSmAgTe3 at its relaxed geometry, as listed in the Open Quantum Materials Database.

a b c (Å): 7.8385 7.8385 11.4363
angles (deg): 90.00 90.00 148.41
Sites, in units of the cell vectors:
Na (0.7328, 0.2672, 0.7500)
Na (0.2672, 0.7328, 0.2500)
Te (0.1445, 0.8555, 0.9395)
Te (0.8555, 0.1445, 0.4395)
Te (0.1445, 0.8555, 0.5605)
Te (0.4059, 0.5941, 0.7500)
Te (0.5941, 0.4059, 0.2500)
Te (0.8555, 0.1445, 0.0605)
Sm (0.5000, 0.5000, 0.5000)
Sm (0.5000, 0.5000, 0.0000)
Ag (0.0285, 0.9715, 0.7500)
Ag (0.9715, 0.0285, 0.2500)

V = 30.67 Å³ per atom
Uncorrected energy = -0.2853 Ry/atom
Space-group type = Cmcm

Record 11
First-principles (PBE) data for crystalline NaSmAgTe3 at its relaxed geometry, as listed in the Open Quantum Materials Database.

a b c (Å): 11.4944 4.2711 14.9860
angles (deg): 90.00 90.00 90.00
Sites, in units of the cell vectors:
Ag (0.7647, 0.2500, 0.2201)
Ag (0.2353, 0.7500, 0.7799)
Ag (0.7353, 0.7500, 0.7201)
Ag (0.2647, 0.2500, 0.2799)
Sm (0.0182, 0.7500, 0.2544)
Sm (0.5182, 0.7500, 0.2456)
Sm (0.9818, 0.2500, 0.7456)
Sm (0.4818, 0.2500, 0.7544)
Na (0.7753, 0.7500, 0.0157)
Na (0.7247, 0.2500, 0.5157)
Na (0.2247, 0.2500, 0.9843)
Na (0.2753, 0.7500, 0.4843)
Te (0.7336, 0.2500, 0.8427)
Te (0.5409, 0.7500, 0.6086)
Te (0.2664, 0.7500, 0.1573)
Te (0.2336, 0.2500, 0.6573)
Te (0.4210, 0.7500, 0.8991)
Te (0.5790, 0.2500, 0.1009)
Te (0.4591, 0.2500, 0.3914)
Te (0.0409, 0.7500, 0.8914)
Te (0.0790, 0.2500, 0.3991)
Te (0.7664, 0.7500, 0.3427)
Te (0.9210, 0.7500, 0.6009)
Te (0.9591, 0.2500, 0.1086)

V = 30.66 Å³ per atom
Uncorrected energy = -0.2853 Ry/atom
Space-group type = Pnma

Record 12
First-principles (PBE) data for crystalline Na2Ag3Sn at its relaxed geometry, as listed in the Open Quantum Materials Database.

a b c (Å): 5.8094 5.8094 9.1587
angles (deg): 90.00 90.00 120.00
Sites, in units of the cell vectors:
Ag (0.3440, 0.1720, 0.7500)
Ag (0.6560, 0.8280, 0.2500)
Ag (0.1720, 0.8280, 0.2500)
Ag (0.1720, 0.3440, 0.2500)
Ag (0.8280, 0.6560, 0.7500)
Ag (0.8280, 0.1720, 0.7500)
Na (0.6667, 0.3333, 0.4401)
Na (0.3333, 0.6667, 0.9401)
Na (0.3333, 0.6667, 0.5599)
Na (0.6667, 0.3333, 0.0599)
Sn (0.0000, 0.0000, 0.5000)
Sn (0.0000, 0.0000, 0.0000)

V = 22.31 Å³ per atom
Uncorrected energy = -0.1951 Ry/atom
Space-group type = P6_3/mmc